Entry 1:
SmTe2Au | Alexandria via LeMat-Bulk | PBE | relaxed; space group = Cm; uncorrected formation energy = -899 meV per atom
1.0
8.010 0.000 0.000
0.000 4.623 0.000
-0.170 0.000 7.573
Sm Te Au
2 4 2
Direct
0.000 0.000 0.000
0.500 0.500 0.000
0.171 0.500 0.206
0.327 0.000 0.686
0.671 0.000 0.206
0.827 0.500 0.686
0.162 0.500 0.798
0.662 0.000 0.798

Entry 2:
BeHgOs2 | Alexandria via LeMat-Bulk | PBE | relaxed; space group = I-42d; calculated formation energy = 84.87 kJ per mole of atoms
1.0
3.970 0.000 0.000
0.000 3.970 0.000
0.000 0.000 17.674
Be Hg Os
4 4 8
Direct
0.000 0.000 0.000
0.000 0.500 0.250
0.500 0.000 0.750
0.500 0.500 0.500
0.000 0.000 0.500
0.000 0.500 0.750
0.500 0.000 0.250
0.500 0.500 0.000
0.156 0.250 0.125
0.250 0.656 0.375
0.250 0.844 0.875
0.344 0.250 0.625
0.656 0.750 0.625
0.750 0.156 0.875
0.750 0.344 0.375
0.844 0.750 0.125

Entry 3:
NaZr2Ta | Alexandria via LeMat-Bulk | PBE | relaxed; space group = R-3m; calculated formation energy = 34.65 kJ per mole of atoms
1.0
3.019 0.000 0.000
-1.510 2.615 0.000
0.000 0.000 35.226
Na Zr Ta
3 6 3
Direct
0.000 0.000 0.000
0.333 0.667 0.667
0.667 0.333 0.333
0.000 0.000 0.092
0.000 0.000 0.908
0.333 0.667 0.574
0.333 0.667 0.759
0.667 0.333 0.241
0.667 0.333 0.426
0.000 0.000 0.500
0.333 0.667 0.167
0.667 0.333 0.833

Entry 4:
NaCdSe | Alexandria via LeMat-Bulk | PBE | relaxed; space group = Pm; uncorrected formation energy = -649 meV per atom
1.0
5.731 0.000 0.000
0.000 4.202 0.000
-2.475 0.000 6.698
Na Cd Se
2 2 2
Direct
0.000 0.000 0.000
0.428 0.000 0.719
0.038 0.500 0.380
0.498 0.500 0.341
0.635 0.500 0.015
0.866 0.000 0.562

Entry 5:
Cu3As | Alexandria via LeMat-Bulk | PBE | relaxed; space group = Imm2; calculated formation energy = 9.86 kJ per mole of atoms
1.0
2.797 0.000 0.000
0.000 8.436 0.000
0.000 0.000 4.572
Cu As
6 2
Direct
0.000 0.000 0.000
0.000 0.254 0.672
0.000 0.746 0.672
0.500 0.246 0.172
0.500 0.500 0.500
0.500 0.754 0.172
0.000 0.500 0.004
0.500 0.000 0.504

Entry 6:
TlIn3Ga4 | Alexandria via LeMat-Bulk | PBE | relaxed; space group = C2/m; calculated formation energy = 4.66 kJ per mole of atoms
1.0
19.867 0.000 0.000
0.000 3.210 0.000
-1.054 0.000 5.977
Tl In Ga
2 6 8
Direct
0.000 0.000 0.000
0.500 0.500 0.000
0.000 0.500 0.500
0.146 0.500 0.877
0.354 0.000 0.123
0.500 0.000 0.500
0.646 0.000 0.877
0.854 0.500 0.123
0.129 0.000 0.389
0.242 0.500 0.303
0.258 0.000 0.697
0.371 0.500 0.611
0.629 0.500 0.389
0.742 0.000 0.303
0.758 0.500 0.697
0.871 0.000 0.611